# 1
## K3LaY2Se6 (PBE)

Data for a relaxed K3LaY2Se6 crystal.

Computed properties:
crystal system: monoclinic
total energy: -5.293 eV/atom
N(E_F): 0.000 states/eV/atom
raw formation energy: -1788.7 meV/atom

a b c (Å): 7.435 12.880 8.081
angles (deg): 90.00 107.89 90.00
Space group C2/m (No. 12)
Unique sites:
K1 0.000 0.000 0.000
K2 0.000 0.335 0.000
La1 0.000 0.500 0.500
Y1 0.000 0.167 0.500
Se1 0.225 0.000 0.707
Se2 0.241 0.328 0.707



# 2
## KLaY2Se4 (PBE)

Data for a relaxed KLaY2Se4 crystal.

Computed properties:
crystal system: monoclinic
total energy: -5.905 eV/atom
N(E_F): 0.345 states/eV/atom
raw formation energy: -1793.7 meV/atom

a b c (Å): 7.332 4.167 7.490
angles (deg): 90.00 108.40 90.00
Space group P2/m (No. 10)
Unique sites:
K1 0.000 0.000 0.000
La1 0.500 0.500 0.000
Y1 0.000 0.500 0.500
Y2 0.500 0.000 0.500
Se1 0.247 0.000 0.730
Se2 0.265 0.500 0.276



# 3
## K2LaZn2Se4 (PBE)

Data for a relaxed K2LaZn2Se4 crystal.

Computed properties:
crystal system: monoclinic
total energy: -3.750 eV/atom
N(E_F): 0.343 states/eV/atom
raw formation energy: -1126.5 meV/atom

a b c (Å): 15.743 4.497 7.951
angles (deg): 90.00 109.64 90.00
Space group C2/m (No. 12)
Unique sites:
K1 0.132 0.000 0.064
La1 0.000 0.000 0.500
Zn1 0.176 0.500 0.503
Se1 0.023 0.500 0.259
Se2 0.206 0.000 0.672